1.
Density functional theory data (PBE) for crystalline CuH6C10Br4N2Cl2 at its relaxed geometry.

Calculated values
- total energy (eV per atom) = -5.742

Cell lengths 6.1665, 7.9230, 8.5840 Å; angles 102.89, 96.67, 102.20 degrees
Last column: nearest neighbours and their distance in Å.
Positions (direct):
Br 0.1058 0.9808 0.2502  1 C 1.89
Br 0.6440 0.2557 0.3492  1 Cu 2.47
Br 0.3560 0.7443 0.6508  1 Cu 2.47
Br 0.8942 0.0192 0.7498  1 C 1.89
C 0.4369 0.6975 0.0855  1 H 1.09
C 0.6472 0.8098 0.0949  1 H 1.09
C 0.4027 0.6118 0.2088  1 N 1.34, 1 C 1.39
C 0.8151 0.8300 0.2261  2 C 1.39
C 0.7705 0.7376 0.3432  1 H 1.09
C 0.2295 0.2624 0.6568  1 H 1.09
C 0.1849 0.1700 0.7739  2 C 1.39
C 0.5973 0.3882 0.7912  1 N 1.34, 1 C 1.39
C 0.3528 0.1902 0.9051  1 H 1.09
C 0.5631 0.3025 0.9145  1 H 1.09
Cl 0.1473 0.4730 0.2083  1 C 1.72
Cl 0.8527 0.5270 0.7917  1 C 1.72
Cu 0.5000 0.5000 0.5000  2 N 1.97
H 0.3212 0.1217 0.0002  1 C 1.09
H 0.6973 0.3226 0.0161  1 C 1.09
H 0.8990 0.7466 0.4457  1 C 1.09
H 0.1010 0.2534 0.5543  1 C 1.09
H 0.3027 0.6774 0.9839  1 C 1.09
H 0.6788 0.8783 0.9998  1 C 1.09
N 0.5655 0.6312 0.3340  2 C 1.34-1.35
N 0.4345 0.3688 0.6660  2 C 1.34-1.35

=====

2.
Density functional theory data (PBE) for crystalline ZnAgSeO at its relaxed geometry.

Calculated values
- relative energy among the computed polymorphs (meV/atom) = 56

Cell lengths 3.2909, 3.2910, 13.7843 Å; angles 90.00, 90.00, 120.00 degrees
Last column: nearest neighbours and their distance in Å.
Positions (direct):
Ag 0.0000 0.0000 0.4780  1 O 2.20
Ag 0.0000 0.0000 0.9780  1 O 2.20
O 0.0000 0.0000 0.3180  3 Zn 1.99, 1 Ag 2.20
O 0.0000 0.0000 0.8180  3 Zn 1.99, 1 Ag 2.20
Se 0.6667 0.3334 0.1167  3 Ag 2.70, 3 Zn 2.89
Se 0.3333 0.6666 0.6167  3 Ag 2.70, 3 Zn 2.89
Zn 0.3333 0.6666 0.2750  3 O 1.99
Zn 0.6667 0.3334 0.7750  3 O 1.99

=====

3.
Density functional theory data (PBE) for crystalline MgZnW2N4 at its relaxed geometry.

Calculated values
- relative energy among the computed polymorphs (meV/atom) = 0

Cell lengths 2.9161, 2.9161, 10.7238 Å; angles 90.00, 90.00, 120.00 degrees
Last column: nearest neighbours and their distance in Å.
Positions (direct):
Mg 0.0000 0.0000 0.5000  6 N 2.15
N 0.3333 0.6667 0.1315  3 W 2.13, 3 Zn 2.20
N 0.3333 0.6667 0.3749  3 W 2.13, 3 Mg 2.15
N 0.6667 0.3333 0.6251  3 W 2.13, 3 Mg 2.15
N 0.6667 0.3333 0.8685  3 W 2.13, 3 Zn 2.20
W 0.6667 0.3333 0.2533  6 N 2.13
W 0.3333 0.6667 0.7467  6 N 2.13
Zn 0.0000 0.0000 0.0000  6 N 2.20

=====

4.
Density functional theory data (PBE) for crystalline PaGaFe at its relaxed geometry.

Calculated values
- total energy (eV per atom) = -6.212

Cell lengths 4.5170, 4.5170, 4.5170 Å; angles 60.00, 60.00, 60.00 degrees
Last column: nearest neighbours and their distance in Å.
Positions (direct):
Fe 0.2500 0.2500 0.2500  4 Pa 2.77
Ga 0.7500 0.7500 0.7500  4 Pa 2.77
Pa 0.0000 0.0000 0.0000  4 Ga 2.77, 4 Fe 2.77

=====

5.
Density functional theory data (PBE) for crystalline Er3Cu2Ni7 at its relaxed geometry.

Calculated values
- energy of formation (meV per atom) = -422

Cell lengths 8.5357, 8.5357, 8.5357 Å; angles 33.88, 33.88, 33.88 degrees
Last column: nearest neighbours and their distance in Å.
Positions (direct):
Cu 0.3336 0.3336 0.3336  6 Ni 2.47
Cu 0.6664 0.6664 0.6664  6 Ni 2.47
Er 0.0000 0.0000 0.0000  6 Cu 2.87, 12 Ni 3.20
Er 0.1391 0.1391 0.1391  12 Ni 2.83-3.03, 3 Er 3.16
Er 0.8609 0.8609 0.8609  12 Ni 2.83-3.03, 3 Er 3.16
Ni 0.5845 0.5845 0.0812  5 Ni 2.47-2.50, 2 Cu 2.47
Ni 0.9188 0.4155 0.4155  5 Ni 2.47-2.50, 2 Cu 2.47
Ni 0.4155 0.9188 0.4155  5 Ni 2.47-2.50, 2 Cu 2.47
Ni 0.5000 0.5000 0.5000  6 Ni 2.47
Ni 0.0812 0.5845 0.5845  5 Ni 2.47-2.50, 2 Cu 2.47
Ni 0.5845 0.0812 0.5845  5 Ni 2.47-2.50, 2 Cu 2.47
Ni 0.4155 0.4155 0.9188  5 Ni 2.47-2.50, 2 Cu 2.47

=====

6.
Density functional theory data (PBE) for crystalline CsTaS3 at its relaxed geometry.

Calculated values
- total energy (eV per atom) = -6.116

Cell lengths 9.9412, 3.5949, 15.4820 Å; angles 90.00, 90.00, 90.00 degrees
Last column: nearest neighbours and their distance in Å.
Positions (direct):
Cs 0.4617 0.7500 0.1660  8 S 3.45-3.79, 2 Cs 3.59
Cs 0.9617 0.7500 0.3340  8 S 3.45-3.79, 2 Cs 3.59
Cs 0.0383 0.2500 0.6660  8 S 3.45-3.79, 2 Cs 3.59
Cs 0.5383 0.2500 0.8340  8 S 3.45-3.79, 2 Cs 3.59
S 0.2865 0.2500 0.0021  2 Ta 2.47
S 0.0181 0.7500 0.0916  3 Ta 2.50-2.77
S 0.7559 0.2500 0.1973  1 Ta 2.24
S 0.2559 0.2500 0.3027  1 Ta 2.24
S 0.5181 0.7500 0.4085  3 Ta 2.50-2.77
S 0.7865 0.2500 0.4979  2 Ta 2.47
S 0.2135 0.7500 0.5021  2 Ta 2.47
S 0.4819 0.2500 0.5916  3 Ta 2.50-2.77
S 0.7441 0.7500 0.6973  1 Ta 2.24
S 0.2441 0.7500 0.8027  1 Ta 2.24
S 0.9819 0.2500 0.9085  3 Ta 2.50-2.77
S 0.7135 0.7500 0.9979  2 Ta 2.47
Ta 0.8479 0.2500 0.0654  5 S 2.24-2.50
Ta 0.3479 0.2500 0.4346  5 S 2.24-2.50
Ta 0.6521 0.7500 0.5654  5 S 2.24-2.50
Ta 0.1521 0.7500 0.9346  5 S 2.24-2.50

=====

7.
Density functional theory data (PBE) for crystalline LuSbPd at its relaxed geometry.

Calculated values
- total energy (eV per atom) = -5.569

Cell lengths 7.2631, 7.2631, 4.2029 Å; angles 90.00, 90.00, 120.00 degrees
Last column: nearest neighbours and their distance in Å.
Positions (direct):
Lu 0.5850 0.0000 0.0000  5 Sb 3.01-3.03, 6 Pd 3.16-3.37
Lu 0.4150 0.4150 0.0000  5 Sb 3.01-3.03, 6 Pd 3.16-3.37
Lu 0.0000 0.5850 0.0000  5 Sb 3.01-3.03, 6 Pd 3.16-3.37
Pd 0.2604 0.0000 0.5000  4 Sb 2.72-2.83
Pd 0.0000 0.2604 0.5000  4 Sb 2.72-2.83
Pd 0.7396 0.7396 0.5000  4 Sb 2.72-2.83
Sb 0.0000 0.0000 0.0000  6 Pd 2.83, 3 Lu 3.01
Sb 0.6667 0.3333 0.5000  3 Pd 2.72, 6 Lu 3.03
Sb 0.3333 0.6667 0.5000  3 Pd 2.72, 6 Lu 3.03

=====

8.
Density functional theory data (PBE) for crystalline TmPaNi at its relaxed geometry.

Calculated values
- relative energy among the computed polymorphs (meV/atom) = 0
- energy of formation (meV per atom) = 136

Cell lengths 4.6305, 4.6305, 4.6305 Å; angles 60.00, 60.00, 60.00 degrees
Last column: nearest neighbours and their distance in Å.
Positions (direct):
Ni 0.0000 0.0000 0.0000  4 Pa 2.84, 4 Tm 2.84
Pa 0.7500 0.7500 0.7500  4 Ni 2.84
Tm 0.2500 0.2500 0.2500  4 Ni 2.84